# AgRh2Au

A geometry-optimized AgRh2Au structure (PBE, the Alexandria database).

Output
* formation energy from the elements: 0.27 eV per atom

Unit cell a=3.957 b=3.957 c=4.083 alpha=90.00 beta=90.00 gamma=90.00
Space group P4/mmm (No. 123)
Inequivalent atoms, fractional coordinates:
Ag  0.000  0.000  0.000 x1
Rh  0.000  0.500  0.500 x2
Au  0.500  0.500  0.000 x1